Below is a relaxed LiGaO2F crystal, with properties calculated at the PBE level.

Unit cell a=3.688 b=3.688 c=3.480 alpha=90.00 beta=90.00 gamma=90.00
Fractional coordinates of all 5 atoms:
Li1 0.000 0.000 0.000
Ga1 0.500 0.500 0.500
O1 0.000 0.500 0.000
O2 0.500 0.000 0.000
F1 0.000 0.000 0.500

Total magnetization, μB/f.u.: 1.2
Energy relative to the elements, uncorrected, eV/atom: -0.78